Na2LiCd2Ag5 after structural relaxation, computed with PBE.

Output
N(E_F) in states/eV/f.u.: 2.881
Energy of formation from the pure elements in eV/atom: -0.023

a b c (Å): 11.093 11.093 3.489
angles (deg): 90.00 90.00 90.00
Space group P4/mbm (No. 127)
One atom of each set of equivalent atoms:
Na: 0.168 0.332 0.000 [4 per cell]
Li: 0.000 0.000 0.000 [2 per cell]
Cd: 0.138 0.638 0.000 [4 per cell]
Ag: 0.000 0.500 0.500 [2 per cell]
Ag: 0.049 0.821 0.500 [8 per cell]